# 1
This record from Alexandria via LeMat-Bulk describes an optimized crystal structure of Te2NCl. The functional is PBE-GGA.

Properties
As for the formation energy (no corrections): 1312 meV/atom.

```
data_Te2NCl
_cell_length_a 6.802
_cell_length_b 6.802
_cell_length_c 6.802
_cell_angle_alpha 90.00
_cell_angle_beta 90.00
_cell_angle_gamma 90.00
_symmetry_space_group_name_H-M 'F m -3 m'
_symmetry_Int_Tables_number 225
_symmetry_space_group_name_Hall '-F 4 2 3'
loop_
_atom_site_label
_atom_site_type_symbol
_atom_site_fract_x
_atom_site_fract_y
_atom_site_fract_z
Te1 Te 0.250 0.250 0.250
N1 N 0.000 0.000 0.000
Cl1 Cl 0.000 0.000 0.500
```

***

# 2
This record from Alexandria via LeMat-Bulk describes an optimized crystal structure of KCd2Se2. The functional is PBE-GGA.

Properties
As for the formation energy (no corrections): -548 meV/atom.

```
data_KCd2Se2
_cell_length_a 5.265
_cell_length_b 5.265
_cell_length_c 10.091
_cell_angle_alpha 90.00
_cell_angle_beta 90.00
_cell_angle_gamma 90.00
_symmetry_space_group_name_H-M 'I 4/m m m'
_symmetry_Int_Tables_number 139
_symmetry_space_group_name_Hall '-I 4 2'
loop_
_atom_site_label
_atom_site_type_symbol
_atom_site_fract_x
_atom_site_fract_y
_atom_site_fract_z
K1 K 0.000 0.000 0.000
Cd1 Cd 0.000 0.000 0.358
Se1 Se 0.000 0.500 0.250
```

***

# 3
This record from Alexandria via LeMat-Bulk describes an optimized crystal structure of LaPmPd. The functional is PBE-GGA.

Properties
As for the formation energy: -0.44 eV per atom.

```
data_LaPmPd
_cell_length_a 7.318
_cell_length_b 6.162
_cell_length_c 11.021
_cell_angle_alpha 90.00
_cell_angle_beta 130.73
_cell_angle_gamma 90.00
_symmetry_space_group_name_H-M 'P 1 21/c 1'
_symmetry_Int_Tables_number 14
loop_
_symmetry_equiv_pos_as_xyz
'x,y,z'
'-x,-y,-z'
'-x,y+1/2,-z+1/2'
'x,-y+1/2,z+1/2'
loop_
_atom_site_label
_atom_site_type_symbol
_atom_site_fract_x
_atom_site_fract_y
_atom_site_fract_z
La1 La 0.203 0.140 0.383
Pm1 Pm 0.321 0.634 0.633
Pd1 Pd 0.319 0.633 0.362
```

***

# 4
This record from Alexandria via LeMat-Bulk describes an optimized crystal structure of MgBe3Ga. The functional is PBE-GGA.

Properties
As for the formation energy: 0.77 eV per atom.

```
data_MgBe3Ga
_cell_length_a 4.268
_cell_length_b 4.268
_cell_length_c 4.268
_cell_angle_alpha 90.00
_cell_angle_beta 90.00
_cell_angle_gamma 90.00
_symmetry_space_group_name_H-M 'P m -3 m'
_symmetry_Int_Tables_number 221
_symmetry_space_group_name_Hall '-P 4 2 3'
loop_
_atom_site_label
_atom_site_type_symbol
_atom_site_fract_x
_atom_site_fract_y
_atom_site_fract_z
Mg1 Mg 0.000 0.000 0.000
Be1 Be 0.000 0.500 0.500
Ga1 Ga 0.500 0.500 0.500
```

***

# 5
This record from Alexandria via LeMat-Bulk describes an optimized crystal structure of ThZnHg2. The functional is PBE-GGA.

Properties
As for the formation energy: -0.09 eV per atom.

```
data_ThZnHg2
_cell_length_a 3.546
_cell_length_b 3.546
_cell_length_c 7.482
_cell_angle_alpha 90.00
_cell_angle_beta 90.00
_cell_angle_gamma 90.00
_symmetry_space_group_name_H-M 'P 4/m m m'
_symmetry_Int_Tables_number 123
_symmetry_space_group_name_Hall '-P 4 2'
loop_
_atom_site_label
_atom_site_type_symbol
_atom_site_fract_x
_atom_site_fract_y
_atom_site_fract_z
Th1 Th 0.000 0.000 0.000
Zn1 Zn 0.000 0.000 0.500
Hg1 Hg 0.500 0.500 0.288
```

***

# 6
This record from Alexandria via LeMat-Bulk describes an optimized crystal structure of ZrAl2P. The functional is PBE-GGA.

Properties
As for the formation energy: -0.37 eV per atom.

```
data_ZrAl2P
_cell_length_a 3.842
_cell_length_b 3.842
_cell_length_c 4.610
_cell_angle_alpha 90.00
_cell_angle_beta 90.00
_cell_angle_gamma 90.00
_symmetry_space_group_name_H-M 'P 4/m m m'
_symmetry_Int_Tables_number 123
_symmetry_space_group_name_Hall '-P 4 2'
loop_
_atom_site_label
_atom_site_type_symbol
_atom_site_fract_x
_atom_site_fract_y
_atom_site_fract_z
Zr1 Zr 0.000 0.000 0.000
Al1 Al 0.000 0.500 0.500
P1 P 0.500 0.500 0.000
```

***

# 7
This record from Alexandria via LeMat-Bulk describes an optimized crystal structure of Re4C3. The functional is PBE-GGA.

Properties
As for the formation energy: 0.83 eV per atom.

```
data_Re4C3
_cell_length_a 4.475
_cell_length_b 4.475
_cell_length_c 4.475
_cell_angle_alpha 90.00
_cell_angle_beta 90.00
_cell_angle_gamma 90.00
_symmetry_space_group_name_H-M 'P -4 3 m'
_symmetry_Int_Tables_number 215
_symmetry_space_group_name_Hall 'P -4 2 3'
loop_
_atom_site_label
_atom_site_type_symbol
_atom_site_fract_x
_atom_site_fract_y
_atom_site_fract_z
Re1 Re 0.228 0.228 0.772
C1 C 0.000 0.500 0.500
```

***

# 8
This record from Alexandria via LeMat-Bulk describes an optimized crystal structure of ThAl4Pd2. The functional is PBE-GGA.

Properties
As for the formation energy: -0.74 eV per atom.

```
data_ThAl4Pd2
_cell_length_a 17.361
_cell_length_b 4.261
_cell_length_c 6.991
_cell_angle_alpha 90.00
_cell_angle_beta 90.00
_cell_angle_gamma 90.00
_symmetry_space_group_name_H-M 'P n m a'
_symmetry_Int_Tables_number 62
loop_
_symmetry_equiv_pos_as_xyz
'x,y,z'
'-x,-y,-z'
'-x+1/2,-y,z+1/2'
'x+1/2,y,-z+1/2'
'x+1/2,-y+1/2,-z+1/2'
'-x+1/2,y+1/2,z+1/2'
'-x,y+1/2,-z'
'x,-y+1/2,z'
loop_
_atom_site_label
_atom_site_type_symbol
_atom_site_fract_x
_atom_site_fract_y
_atom_site_fract_z
Th1 Th 0.118 0.250 0.012
Al1 Al 0.041 0.750 0.731
Al2 Al 0.092 0.250 0.499
Al3 Al 0.188 0.750 0.341
Al4 Al 0.200 0.750 0.728
Pd1 Pd 0.038 0.750 0.312
Pd2 Pd 0.233 0.250 0.542
```

***

# 9
This record from Alexandria via LeMat-Bulk describes an optimized crystal structure of Ni2Te6PdPt. The functional is PBE-GGA.

Properties
As for the formation energy (no corrections): -237 meV/atom.

```
data_Ni2Te6PdPt
_cell_length_a 6.814
_cell_length_b 6.817
_cell_length_c 7.055
_cell_angle_alpha 118.72
_cell_angle_beta 90.10
_cell_angle_gamma 119.95
_symmetry_space_group_name_H-M 'P 1'
_symmetry_Int_Tables_number 1
loop_
_symmetry_equiv_pos_as_xyz
'x,y,z'
loop_
_atom_site_label
_atom_site_type_symbol
_atom_site_fract_x
_atom_site_fract_y
_atom_site_fract_z
Ni1 Ni 0.000 0.000 0.000
Ni2 Ni 0.499 0.997 0.496
Te1 Te 0.113 0.506 0.290
Te2 Te 0.284 0.173 0.790
Te3 Te 0.392 0.179 0.291
Te4 Te 0.616 0.902 0.791
Te5 Te 0.786 0.898 0.291
Te6 Te 0.889 0.506 0.789
Pd1 Pd 0.201 0.403 0.603
Pt1 Pt 0.698 0.398 0.096
```

***

# 10
This record from Alexandria via LeMat-Bulk describes an optimized crystal structure of Tb3ErRh8. The functional is PBE-GGA.

Properties
As for the formation energy: -0.75 eV per atom.

```
data_Tb3ErRh8
_cell_length_a 5.3392
_cell_length_b 5.3392
_cell_length_c 26.1439
_cell_angle_alpha 90.00
_cell_angle_beta 90.00
_cell_angle_gamma 120.00
_symmetry_space_group_name_H-M 'R 3 m'
_symmetry_Int_Tables_number 160
_symmetry_space_group_name_Hall 'R 3 -2"'
loop_
_atom_site_label
_atom_site_type_symbol
_atom_site_fract_x
_atom_site_fract_y
_atom_site_fract_z
Tb1 Tb 0.0000 0.0000 0.0000
Tb2 Tb 0.0000 0.0000 0.1254
Tb3 Tb 0.0000 0.0000 0.5004
Er1 Er 0.0000 0.0000 0.6256
Rh1 Rh 0.0000 0.0000 0.3128
Rh2 Rh 0.0000 0.0000 0.8129
Rh3 Rh 0.9997 0.4998 0.0625
Rh4 Rh 0.0001 0.5001 0.5631
```

***

# 11
This record from Alexandria via LeMat-Bulk describes an optimized crystal structure of K3SnS4. The functional is PBE-GGA.

Properties
As for the formation energy (no corrections): -809 meV/atom.

```
data_K3SnS4
_cell_length_a 7.808
_cell_length_b 7.808
_cell_length_c 7.808
_cell_angle_alpha 90.00
_cell_angle_beta 90.00
_cell_angle_gamma 90.00
_symmetry_space_group_name_H-M 'I -4 3 m'
_symmetry_Int_Tables_number 217
_symmetry_space_group_name_Hall 'I -4 2 3'
loop_
_atom_site_label
_atom_site_type_symbol
_atom_site_fract_x
_atom_site_fract_y
_atom_site_fract_z
K1 K 0.000 0.000 0.500
Sn1 Sn 0.000 0.000 0.000
S1 S 0.180 0.180 0.180
```

***

# 12
This record from Alexandria via LeMat-Bulk describes an optimized crystal structure of TaAlPb4. The functional is PBE-GGA.

Properties
As for the formation energy: 0.96 eV per atom.

```
data_TaAlPb4
_cell_length_a 8.863
_cell_length_b 8.863
_cell_length_c 8.863
_cell_angle_alpha 90.00
_cell_angle_beta 90.00
_cell_angle_gamma 90.00
_symmetry_space_group_name_H-M 'F -4 3 m'
_symmetry_Int_Tables_number 216
_symmetry_space_group_name_Hall 'F -4 2 3'
loop_
_atom_site_label
_atom_site_type_symbol
_atom_site_fract_x
_atom_site_fract_y
_atom_site_fract_z
Ta1 Ta 0.000 0.000 0.000
Al1 Al 0.250 0.250 0.750
Pb1 Pb 0.126 0.126 0.374
```